# PBE+U NpMnIn2O8, optimized geometry
data_NpMnIn2O8
_symmetry_space_group_name_H-M 'P 1'
_symmetry_Int_Tables_number 1
_cell_length_a 4.9176
_cell_length_b 6.4299
_cell_length_c 4.9239
_cell_angle_alpha 90.00
_cell_angle_beta 92.24
_cell_angle_gamma 90.00
loop_
_symmetry_equiv_pos_as_xyz
'x,y,z'
loop_
_atom_site_label
_atom_site_type_symbol
_atom_site_fract_x
_atom_site_fract_y
_atom_site_fract_z
Np1 Np 0.0000 0.0000 0.0000
Mn1 Mn 0.0000 0.5000 0.0000
In1 In 0.5000 0.2632 0.5000
In2 In 0.5000 0.7368 0.5000
O1 O 0.1790 0.2572 0.8229
O2 O 0.1790 0.7428 0.8229
O3 O 0.2846 0.5000 0.2864
O4 O 0.3005 0.0000 0.3027
O5 O 0.6995 0.0000 0.6973
O6 O 0.7154 0.5000 0.7136
O7 O 0.8210 0.2572 0.1771
O8 O 0.8210 0.7428 0.1771
# Uncorrected energy in eV/atom: -7.30